CaVHgO2 | PBE with a Hubbard U | relaxed

a b c (Å): 4.0020 4.0020 5.3188
angles (deg): 90.00 90.00 90.00
With the nearest neighbours (Å) after each atom.
Element x y z (fractional)
Ca: 0.0000 0.0000 0.0000  4 Hg 2.83
V: 0.5000 0.5000 0.5000  4 O 2.00
Hg: 0.5000 0.5000 0.0000  2 V 2.66, 4 Ca 2.83
O: 0.0000 0.5000 0.5000  2 V 2.00
O: 0.5000 0.0000 0.5000  2 V 2.00

Computed properties:
total moment	0.288	μB/atom
raw total energy	-0.356	Ry per atom
space-group type	No. 123

CaHgW2O8 | PBE with a Hubbard U | relaxed

a b c (Å): 6.2788 6.2788 6.2788
angles (deg): 107.68 107.68 113.11
With the nearest neighbours (Å) after each atom.
Element x y z (fractional)
Ca: 0.0000 0.0000 0.0000  4 O 2.33
Hg: 0.2500 0.7500 0.5000  4 O 2.36
W: 0.5000 0.5000 0.0000  4 O 1.82
W: 0.7500 0.2500 0.5000  4 O 1.82
O: 0.3370 0.1445 0.8075  1 W 1.82
O: 0.3370 0.5294 0.1925  1 W 1.82
O: 0.3974 0.0951 0.3023  1 W 1.82
O: 0.4706 0.6630 0.8075  1 W 1.82
O: 0.7929 0.0951 0.6977  1 W 1.82
O: 0.8555 0.6630 0.1925  1 W 1.82
O: 0.9049 0.2071 0.3023  1 W 1.82
O: 0.9049 0.6026 0.6977  1 W 1.82

Computed properties:
total moment	0.000	μB/atom
raw total energy	-0.481	Ry per atom
space-group type	No. 119

Ca2HgWO6 | PBE with a Hubbard U | relaxed

a b c (Å): 6.2388 6.2388 6.2388
angles (deg): 55.05 55.05 55.05
With the nearest neighbours (Å) after each atom.
Element x y z (fractional)
Ca: 0.0000 0.0000 0.0000  6 O 2.32-2.42
Ca: 0.4887 0.4887 0.4887  6 O 2.38-2.39
Hg: 0.2577 0.2577 0.2577  3 O 2.20
W: 0.6925 0.6925 0.6925  6 O 1.88-2.08
O: 0.0342 0.4576 0.7511  1 W 1.88
O: 0.3315 0.8635 0.6164  1 W 2.08, 1 Hg 2.20, 1 Ca 2.32
O: 0.4576 0.7511 0.0342  1 W 1.88
O: 0.6164 0.3315 0.8635  1 W 2.08, 1 Hg 2.20, 1 Ca 2.32
O: 0.7511 0.0342 0.4576  1 W 1.88
O: 0.8635 0.6164 0.3315  1 W 2.08, 1 Hg 2.20, 1 Ca 2.32

Computed properties:
total moment	0.000	μB/atom
raw total energy	-0.463	Ry per atom
space-group type	No. 146